A relaxed structure of Dy3Ge. Source: Alexandria, functional PBE-GGA.

```
data_Dy3Ge
_chemical_formula_sum 'Dy3 Ge1'
_symmetry_space_group_name_H-M 'P 1'
_symmetry_Int_Tables_number 1
_cell_length_a 4.663
_cell_length_b 4.663
_cell_length_c 4.663
_cell_angle_alpha 90.00
_cell_angle_beta 90.00
_cell_angle_gamma 90.00
loop_
_symmetry_equiv_pos_as_xyz
'x,y,z'
loop_
_atom_site_label
_atom_site_type_symbol
_atom_site_fract_x
_atom_site_fract_y
_atom_site_fract_z
Dy1 Dy 0.000 0.000 0.500
Dy2 Dy 0.000 0.500 0.000
Dy3 Dy 0.500 0.000 0.000
Ge1 Ge 0.500 0.500 0.500
```

Calculated values
E_form (eV per atom): -0.328
E above lowest polymorph (meV/atom): 45.2
SG: Pm-3m